A relaxed BaSc2Rh crystal. Source: Alexandria, functional GGA-PBE.

Computed properties:
N(E_F) in states/eV/f.u.: 3.28
ΔE_f in eV/atom: -0.29

The structure in CIF format:
```
data_BaSc2Rh
_cell_length_a 3.382
_cell_length_b 3.382
_cell_length_c 9.235
_cell_angle_alpha 90.00
_cell_angle_beta 90.00
_cell_angle_gamma 90.00
_space_group_name_H-M_alt 'P 4/m m m'
_space_group_IT_number 123
_space_group_name_Hall '-P 4 2'
loop_
_atom_site_label
_atom_site_type_symbol
_atom_site_fract_x
_atom_site_fract_y
_atom_site_fract_z
Ba1 Ba 0.000 0.000 0.000
Sc1 Sc 0.500 0.500 0.339
Rh1 Rh 0.000 0.000 0.500
```

A relaxed Sr2AlW crystal. Source: Alexandria, functional GGA-PBE.

Computed properties:
N(E_F) in states/eV/f.u.: 4.81
ΔE_f in eV/atom: 0.72

The structure in CIF format:
```
data_Sr2AlW
_cell_length_a 3.355
_cell_length_b 4.768
_cell_length_c 7.294
_cell_angle_alpha 90.00
_cell_angle_beta 103.18
_cell_angle_gamma 90.00
_space_group_name_H-M_alt 'P 1 m 1'
_space_group_IT_number 6
loop_
_space_group_symop_operation_xyz
'x,y,z'
'x,-y,z'
loop_
_atom_site_label
_atom_site_type_symbol
_atom_site_fract_x
_atom_site_fract_y
_atom_site_fract_z
Sr1 Sr 0.000 0.000 0.000
Sr2 Sr 0.305 0.500 0.614
Al1 Al 0.694 0.000 0.391
W1 W 0.609 0.500 0.222
```

A relaxed Tc3MoAs crystal. Source: Alexandria, functional GGA-PBE.

Computed properties:
Energy relative to the lowest polymorph listed for this composition in eV per atom: 0.0000
N(E_F) in states/eV/f.u.: 6.50
ΔE_f in eV/atom: 1.20

The structure in CIF format:
```
data_Tc3MoAs
_cell_length_a 4.460
_cell_length_b 4.460
_cell_length_c 4.460
_cell_angle_alpha 90.00
_cell_angle_beta 90.00
_cell_angle_gamma 90.00
_space_group_name_H-M_alt 'P m -3 m'
_space_group_IT_number 221
_space_group_name_Hall '-P 4 2 3'
loop_
_atom_site_label
_atom_site_type_symbol
_atom_site_fract_x
_atom_site_fract_y
_atom_site_fract_z
Tc1 Tc 0.000 0.000 0.500
Mo1 Mo 0.500 0.500 0.500
As1 As 0.000 0.000 0.000
```

A relaxed SnAsS3 crystal. Source: Alexandria, functional GGA-PBE.

Computed properties:
N(E_F) in states/eV/f.u.: 1.04
E_form (uncorrected) in eV per atom: -0.12

The structure in CIF format:
```
data_SnAsS3
_cell_length_a 4.614
_cell_length_b 6.998
_cell_length_c 8.359
_cell_angle_alpha 90.00
_cell_angle_beta 105.24
_cell_angle_gamma 90.00
_space_group_name_H-M_alt 'P 1 21/m 1'
_space_group_IT_number 11
loop_
_space_group_symop_operation_xyz
'x,y,z'
'-x,-y,-z'
'-x,y+1/2,-z'
'x,-y+1/2,z'
loop_
_atom_site_label
_atom_site_type_symbol
_atom_site_fract_x
_atom_site_fract_y
_atom_site_fract_z
Sn1 Sn 0.123 0.250 0.276
As1 As 0.413 0.250 0.860
S1 S 0.043 0.750 0.051
S2 S 0.343 0.506 0.692
```

A relaxed Nd4Pd2Au5 crystal. Source: Alexandria, functional GGA-PBE.

Computed properties:
N(E_F) in states/eV/f.u.: 6.63
ΔE_f in eV/atom: -0.77

The structure in CIF format:
```
data_Nd4Pd2Au5
_cell_length_a 7.628
_cell_length_b 3.845
_cell_length_c 8.939
_cell_angle_alpha 90.00
_cell_angle_beta 92.77
_cell_angle_gamma 90.00
_space_group_name_H-M_alt 'P 1 2/m 1'
_space_group_IT_number 10
loop_
_space_group_symop_operation_xyz
'x,y,z'
'-x,-y,-z'
'-x,y,-z'
'x,-y,z'
loop_
_atom_site_label
_atom_site_type_symbol
_atom_site_fract_x
_atom_site_fract_y
_atom_site_fract_z
Nd1 Nd 0.208 0.000 0.363
Nd2 Nd 0.251 0.000 0.905
Pd1 Pd 0.074 0.500 0.138
Au1 Au 0.151 0.500 0.629
Au2 Au 0.440 0.500 0.160
Au3 Au 0.500 0.500 0.500
```

A relaxed TlHIN2 crystal. Source: Alexandria, functional GGA-PBE.

Computed properties:
Energy relative to the lowest polymorph listed for this composition in eV per atom: 0.1512
N(E_F) in states/eV/f.u.: 3.33

The structure in CIF format:
```
data_TlHIN2
_cell_length_a 4.631
_cell_length_b 4.631
_cell_length_c 6.208
_cell_angle_alpha 90.00
_cell_angle_beta 90.00
_cell_angle_gamma 90.00
_space_group_name_H-M_alt 'P 4/m m m'
_space_group_IT_number 123
_space_group_name_Hall '-P 4 2'
loop_
_atom_site_label
_atom_site_type_symbol
_atom_site_fract_x
_atom_site_fract_y
_atom_site_fract_z
Tl1 Tl 0.000 0.000 0.000
H1 H 0.500 0.500 0.500
I1 I 0.000 0.000 0.500
N1 N 0.000 0.500 0.000
```

Number 1: DFT total energy -5.78 eV/atom. Number 2: DFT total energy -4.29 eV/atom. Number 3: DFT total energy -8.12 eV/atom. Number 4: DFT total energy -4.33 eV/atom. Number 5: DFT total energy -4.94 eV/atom. Number 6: DFT total energy -2.70 eV/atom.